Record 1
# TmPuAg2Se4 | Alexandria | PBE | optimized geometry
# formation energy from raw total energies	-1018	meV/atom
# Fermi-level density of states	11.26	states/eV/f.u.
data_TmPuAg2Se4
_chemical_formula_sum 'Tm2 Pu2 Ag4 Se8'
_symmetry_space_group_name_H-M 'I -4 m 2'
_symmetry_Int_Tables_number 119
_symmetry_space_group_name_Hall 'I -4 -2'
_cell_length_a 5.689
_cell_length_b 5.689
_cell_length_c 12.236
_cell_angle_alpha 90.00
_cell_angle_beta 90.00
_cell_angle_gamma 90.00
loop_
_atom_site_label
_atom_site_type_symbol
_atom_site_fract_x
_atom_site_fract_y
_atom_site_fract_z
Tm1 Tm 0.000 0.000 0.000
Pu1 Pu 0.000 0.500 0.250
Ag1 Ag 0.000 0.000 0.500
Ag2 Ag 0.000 0.500 0.750
Se1 Se 0.000 0.000 0.231
Se2 Se 0.000 0.500 0.009

---

Record 2
# ZnP3I | Alexandria | PBE | optimized geometry
# formation energy from raw total energies	1025	meV/atom
# Fermi-level density of states	4.34	states/eV/f.u.
data_ZnP3I
_chemical_formula_sum 'Zn1 P3 I1'
_symmetry_space_group_name_H-M 'P m -3 m'
_symmetry_Int_Tables_number 221
_symmetry_space_group_name_Hall '-P 4 2 3'
_cell_length_a 4.725
_cell_length_b 4.725
_cell_length_c 4.725
_cell_angle_alpha 90.00
_cell_angle_beta 90.00
_cell_angle_gamma 90.00
loop_
_atom_site_label
_atom_site_type_symbol
_atom_site_fract_x
_atom_site_fract_y
_atom_site_fract_z
Zn1 Zn 0.000 0.000 0.000
P1 P 0.000 0.000 0.500
I1 I 0.500 0.500 0.500

---

Record 3
# Pa3Nb2Ge4 | Alexandria | PBE | optimized geometry
# formation energy	-363	meV/atom
# Fermi-level density of states	8.84	states/eV/f.u.
data_Pa3Nb2Ge4
_chemical_formula_sum 'Pa6 Nb4 Ge8'
_symmetry_space_group_name_H-M 'C 1 2/m 1'
_symmetry_Int_Tables_number 12
_cell_length_a 15.154
_cell_length_b 3.842
_cell_length_c 7.154
_cell_angle_alpha 90.00
_cell_angle_beta 108.97
_cell_angle_gamma 90.00
loop_
_symmetry_equiv_pos_as_xyz
'x,y,z'
'-x,-y,-z'
'-x,y,-z'
'x,-y,z'
'x+1/2,y+1/2,z'
'-x+1/2,-y+1/2,-z'
'-x+1/2,y+1/2,-z'
'x+1/2,-y+1/2,z'
loop_
_atom_site_label
_atom_site_type_symbol
_atom_site_fract_x
_atom_site_fract_y
_atom_site_fract_z
Pa1 Pa 0.000 0.000 0.000
Pa2 Pa 0.136 0.000 0.570
Nb1 Nb 0.173 0.500 0.976
Ge1 Ge 0.007 0.500 0.688
Ge2 Ge 0.213 0.000 0.248

---

Q: Number 2 is which compound?
A: ZnP3I